(1)
Here is a relaxed structure of LaCd2Cl from Alexandria via LeMat-Bulk. Energies are from PBE-GGA.

Values from the calculation:
energy relative to the lowest polymorph listed for this composition: 1.278 eV/f.u.
formation energy from raw total energies: -0.43 eV/atom
space group: Cmmm

The structure in POSCAR format:
```
LaCd2Cl
1.0
1.9650 -2.9264 0.0000
1.9650 2.9264 0.0000
0.0000 0.0000 9.5984
La Cd Cl
1 2 1
Direct
0.0000 0.0000 0.0000
0.5000 0.5000 0.2799
0.5000 0.5000 0.7201
0.0000 0.0000 0.5000
```

***

(2)
Here is a relaxed structure of SiPb2Br from Alexandria via LeMat-Bulk. Energies are from PBE-GGA.

Values from the calculation:
energy relative to the lowest polymorph listed for this composition: 0.000 eV/f.u.
formation energy from raw total energies: -0.06 eV/atom
space group: R-3m

The structure in POSCAR format:
```
SiPb2Br
1.0
2.1385 1.2347 7.5826
-2.1385 1.2347 7.5826
0.0000 -2.4693 7.5826
Si Pb Br
1 2 1
Direct
0.0000 0.0000 0.0000
0.2668 0.2668 0.2668
0.7332 0.7332 0.7332
0.5000 0.5000 0.5000
```

***

(3)
Here is a relaxed structure of NaIr3I from Alexandria via LeMat-Bulk. Energies are from PBE-GGA.

Values from the calculation:
energy relative to the lowest polymorph listed for this composition: 0.000 eV/f.u.
formation energy from raw total energies: 1.66 eV/atom
space group: Pm-3m

The structure in POSCAR format:
```
NaIr3I
1.0
4.9130 0.0000 0.0000
0.0000 4.9130 0.0000
0.0000 0.0000 4.9130
Na Ir I
1 3 1
Direct
0.0000 0.0000 0.0000
0.0000 0.5000 0.5000
0.5000 0.0000 0.5000
0.5000 0.5000 0.0000
0.5000 0.5000 0.5000
```

***

(4)
Here is a relaxed structure of SmDyScTl from Alexandria via LeMat-Bulk. Energies are from PBE-GGA.

Values from the calculation:
energy relative to the lowest polymorph listed for this composition: 0.000 eV/f.u.
space group: Pmmm
formation energy: -68 kJ/mol of formula units

The structure in POSCAR format:
```
SmDyScTl
1.0
4.7398 0.0000 0.0000
0.0000 4.7762 0.0000
0.0000 0.0000 4.8139
Sm Dy Sc Tl
1 1 1 1
Direct
0.0000 0.0000 0.0000
0.5000 0.5000 0.0000
0.5000 0.0000 0.5000
0.0000 0.5000 0.5000
```

***

(5)
Here is a relaxed structure of SmEr2Tm5Th from Alexandria via LeMat-Bulk. Energies are from PBE-GGA.

Values from the calculation:
space group: I4/mcm
formation energy: 281 kJ/mol of formula units

The structure in POSCAR format:
```
SmEr2Tm5Th
1.0
-4.3610 4.3610 7.3970
4.3610 -4.3610 7.3970
4.3610 4.3610 -7.3970
Sm Er Tm Th
2 4 10 2
Direct
0.2500 0.7500 0.5000
0.7500 0.2500 0.5000
0.1142 0.6142 0.7283
0.3859 0.1142 0.5000
0.6142 0.8858 0.5000
0.8858 0.3859 0.2717
0.0000 0.0000 0.0000
0.0725 0.1574 0.5000
0.1574 0.6574 0.0850
0.3426 0.4275 0.5000
0.4275 0.9275 0.0850
0.5000 0.5000 0.0000
0.5725 0.0725 0.9150
0.6574 0.5725 0.5000
0.8426 0.3426 0.9150
0.9275 0.8426 0.5000
0.2500 0.2500 0.0000
0.7500 0.7500 0.0000
```

***

(6)
Here is a relaxed structure of Zr2Ti2Co from Alexandria via LeMat-Bulk. Energies are from PBE-GGA.

Values from the calculation:
energy relative to the lowest polymorph listed for this composition: 0.000 eV/f.u.
space group: C2/m
formation energy: -60 kJ/mol of formula units

The structure in POSCAR format:
```
Zr2Ti2Co
1.0
5.2808 -1.5730 0.0000
5.2808 1.5730 0.0000
-4.3690 0.0000 11.0563
Zr Ti Co
4 4 2
Direct
0.0031 0.0031 0.1831
0.2170 0.2170 0.6441
0.7830 0.7830 0.3559
0.9969 0.9969 0.8169
0.3391 0.3391 0.9526
0.4590 0.4590 0.5909
0.5410 0.5410 0.4091
0.6609 0.6609 0.0474
0.3003 0.3003 0.1822
0.6997 0.6997 0.8178
```

***

(7)
Here is a relaxed structure of LaPdCl2 from Alexandria via LeMat-Bulk. Energies are from PBE-GGA.

Values from the calculation:
energy relative to the lowest polymorph listed for this composition: 2.386 eV/f.u.
formation energy from raw total energies: -0.59 eV/atom
space group: R-3m

The structure in POSCAR format:
```
LaPdCl2
1.0
2.0486 1.1828 7.9430
-2.0486 1.1828 7.9430
0.0000 -2.3656 7.9430
La Pd Cl
1 1 2
Direct
0.0000 0.0000 0.0000
0.5000 0.5000 0.5000
0.1136 0.1136 0.1136
0.8864 0.8864 0.8864
```

***

(8)
Here is a relaxed structure of KPdBr from Alexandria via LeMat-Bulk. Energies are from PBE-GGA.

Values from the calculation:
energy relative to the lowest polymorph listed for this composition: 0.956 eV/f.u.
formation energy from raw total energies: -0.39 eV/atom
space group: Pnma

The structure in POSCAR format:
```
KPdBr
1.0
10.5931 0.0000 0.0000
0.0000 7.1318 0.0000
0.0000 0.0000 4.5773
K Pd Br
4 4 4
Direct
0.2501 0.2500 0.2490
0.2499 0.7500 0.7490
0.7501 0.2500 0.2510
0.7499 0.7500 0.7510
0.0003 0.2500 0.5668
0.9997 0.7500 0.4332
0.5003 0.2500 0.9332
0.4997 0.7500 0.0668
0.0000 0.0000 0.0000
0.0000 0.5000 0.0000
0.5000 0.0000 0.5000
0.5000 0.5000 0.5000
```

***

(9)
Here is a relaxed structure of CaSc2Ir from Alexandria via LeMat-Bulk. Energies are from PBE-GGA.

Values from the calculation:
space group: R3m
formation energy: -22 kJ/mol of formula units

The structure in POSCAR format:
```
CaSc2Ir
1.0
1.7876 1.0321 9.3920
-1.7876 1.0321 9.3920
0.0000 -2.0641 9.3920
Ca Sc Ir
1 2 1
Direct
0.0000 0.0000 0.0000
0.2236 0.2236 0.2236
0.4580 0.4580 0.4580
0.7380 0.7380 0.7380
```

***

Number 1: VASP energy -2.58 eV/atom. Number 2: VASP energy -3.69 eV/atom. Number 3: VASP energy -4.23 eV/atom. Number 4: VASP energy -4.68 eV/atom. Number 5: VASP energy -4.52 eV/atom. Number 6: VASP energy -8.12 eV/atom. Number 7: VASP energy -4.04 eV/atom. Number 8: VASP energy -3.05 eV/atom. Number 9: VASP energy -5.94 eV/atom.